Entry 1:
A relaxed structure of ZrTi2BiIr. Source: Alexandria, functional PBE-GGA.

Lattice parameters (Å, degrees): 4.9516 5.3238 4.9516 90.00 90.00 90.00
Site moments in Bohr magnetons follow the coordinates.
Atoms (fractional coordinates):
Ti (0.0000, 0.0000, 0.5000)  0.64
Ti (0.5000, 0.0000, 0.0000)  0.50
Ir (0.5000, 0.5000, 0.5000)  0.08
Bi (0.0000, 0.0000, 0.0000)  0.01
Zr (0.0000, 0.5000, 0.0000)  0.06

total moment	1.6	μB per formula unit
ρ	7.5	g cm⁻³
energy of formation from the pure elements	1.5116	eV per atom
electronic total energy	-5.904	eV/atom



Entry 2:
A relaxed structure of Tl2Bi2Ir. Source: Alexandria, functional PBE-GGA.

Lattice parameters (Å, degrees): 7.0901 7.0901 5.9179 90.00 90.00 90.00
Atoms (fractional coordinates):
Tl (0.6724, 0.8276, 0.5000)
Tl (0.3276, 0.1724, 0.5000)
Tl (0.1724, 0.6724, 0.5000)
Tl (0.8276, 0.3276, 0.5000)
Bi (0.8467, 0.6533, 0.0000)
Bi (0.1533, 0.3467, 0.0000)
Bi (0.6533, 0.1533, 0.0000)
Bi (0.3467, 0.8467, 0.0000)
Ir (0.0000, 0.0000, 0.0000)
Ir (0.5000, 0.5000, 0.0000)

total moment	0.0	μB per formula unit
ρ	11.4	g cm⁻³
energy of formation from the pure elements	0.2051	eV per atom
electronic total energy	-4.066	eV/atom



Entry 3:
A relaxed structure of TlBiIr2. Source: Alexandria, functional PBE-GGA.

Lattice parameters (Å, degrees): 6.2235 6.2235 7.4025 65.14 65.14 90.00
Atoms (fractional coordinates):
Bi (0.7500, 0.2500, 0.5000)
Bi (0.0000, 0.0000, 0.0000)
Tl (0.5000, 0.5000, 0.0000)
Tl (0.2500, 0.7500, 0.5000)
Ir (0.8750, 0.8830, 0.7500)
Ir (0.1170, 0.6250, 0.2500)
Ir (0.6330, 0.1250, 0.2500)
Ir (0.3750, 0.3670, 0.7500)

total moment	0.0	μB per formula unit
ρ	11.5	g cm⁻³
energy of formation from the pure elements	0.9415	eV per atom
electronic total energy	-5.051	eV/atom



Entry 4:
A relaxed structure of TlBi3Ir. Source: Alexandria, functional PBE-GGA.

Lattice parameters (Å, degrees): 6.4665 9.5428 9.7499 99.14 90.00 90.00
Atoms (fractional coordinates):
Bi (0.5721, 0.0388, 0.1714)
Bi (0.8980, 0.7713, 0.9108)
Bi (0.9279, 0.0388, 0.6714)
Bi (0.9342, 0.3011, 0.4256)
Bi (0.4279, 0.9612, 0.8286)
Bi (0.3980, 0.2287, 0.5892)
Bi (0.0721, 0.9612, 0.3286)
Bi (0.6020, 0.7713, 0.4108)
Bi (0.5658, 0.3011, 0.9256)
Bi (0.4342, 0.6989, 0.0744)
Bi (0.0658, 0.6989, 0.5744)
Bi (0.1020, 0.2287, 0.0892)
Tl (0.9880, 0.5886, 0.2005)
Tl (0.4880, 0.4114, 0.2995)
Tl (0.5120, 0.5886, 0.7005)
Tl (0.0120, 0.4114, 0.7995)
Ir (0.6856, 0.0574, 0.4429)
Ir (0.1856, 0.9426, 0.0571)
Ir (0.8144, 0.0574, 0.9429)
Ir (0.3144, 0.9426, 0.5571)

total moment	0.0	μB per formula unit
ρ	11.4	g cm⁻³
energy of formation from the pure elements	0.0255	eV per atom
electronic total energy	-4.549	eV/atom